No. 1
DyLu2Ni, relaxed, DFT PBE; ΔE to the lowest computed polymorph = 0.1142 eV per atom; calculated density = 9.05 g cm⁻³; SG = No. 166; DOS(E_F) = 17.06 states/eV per cell; total DFT energy (no corrections) = -4.96 eV/atom; M_tot = 0.000 Bohr magnetons per cell
1.0
3.622 0.000 0.000
-1.811 3.137 0.000
0.000 0.000 27.660
Dy Lu Ni
3 6 3
direct
0.000 0.000 0.000 Dy
0.333 0.667 0.667 Dy
0.667 0.333 0.333 Dy
0.000 0.000 0.226 Lu
0.000 0.000 0.774 Lu
0.333 0.667 0.440 Lu
0.333 0.667 0.893 Lu
0.667 0.333 0.107 Lu
0.667 0.333 0.560 Lu
0.000 0.000 0.500 Ni
0.333 0.667 0.167 Ni
0.667 0.333 0.833 Ni

---

No. 2
PaSe2IO8, relaxed, DFT PBE; formation energy (no corrections) = -1.17 eV per atom; calculated density = 4.72 g cm⁻³; SG = No. 164; total DFT energy (no corrections) = -5.98 eV/atom; M_tot = 0.000 Bohr magnetons per cell
1.0
6.271 0.000 0.000
-3.135 5.431 0.000
0.000 0.000 6.653
Pa Se I O
1 2 1 8
direct
0.000 0.000 0.000 Pa
0.333 0.667 0.769 Se
0.667 0.333 0.231 Se
0.000 0.000 0.500 I
0.191 0.382 0.873 O
0.191 0.809 0.873 O
0.333 0.667 0.527 O
0.382 0.191 0.127 O
0.618 0.809 0.873 O
0.667 0.333 0.473 O
0.809 0.191 0.127 O
0.809 0.618 0.127 O